1.
The following is a PBE calculation of a geometry-optimized Hf2TeAu2 structure, from OQMD.

- Space-group type: I4/mmm, No. 139
- Crystal system: tetragonal

abc: 7.6884 7.6884 7.6884
angles: 150.79 150.79 41.78
With the nearest neighbours (Å) after each atom.
Element x y z (fractional)
Hf  0.1080  0.1080  0.0000  4 Au 2.81, 1 Hf 3.10, 4 Te 3.15
Hf  0.8920  0.8920  0.0000  4 Au 2.81, 1 Hf 3.10, 4 Te 3.15
Te  0.5000  0.5000  0.0000  8 Hf 3.15
Au  0.2500  0.7500  0.5000  4 Au 2.74, 4 Hf 2.81
Au  0.7500  0.2500  0.5000  4 Au 2.74, 4 Hf 2.81



2.
The following is a PBE calculation of a geometry-optimized Hf2TeAu structure, from OQMD.

- Space-group type: F-43m, No. 216
- Crystal system: cubic

abc: 4.9909 4.9909 4.9909
angles: 60.00 60.00 60.00
With the nearest neighbours (Å) after each atom.
Element x y z (fractional)
Hf  0.0000  0.0000  0.0000  4 Au 3.06, 4 Hf 3.06
Hf  0.2500  0.2500  0.2500  4 Hf 3.06, 4 Te 3.06
Te  0.5000  0.5000  0.5000  4 Au 3.06, 4 Hf 3.06
Au  0.7500  0.7500  0.7500  4 Hf 3.06, 4 Te 3.06



3.
The following is a PBE calculation of a geometry-optimized HfTeAu2 structure, from OQMD.

- Space-group type: F-43m, No. 216
- Crystal system: cubic

abc: 4.8827 4.8827 4.8827
angles: 60.00 60.00 60.00
With the nearest neighbours (Å) after each atom.
Element x y z (fractional)
Hf  0.0000  0.0000  0.0000  4 Te 2.99, 4 Au 2.99
Te  0.7500  0.7500  0.7500  4 Hf 2.99, 4 Au 2.99
Au  0.2500  0.2500  0.2500  4 Hf 2.99, 4 Au 2.99
Au  0.5000  0.5000  0.5000  4 Te 2.99, 4 Au 2.99



How do the records compare in VASP energy? In the order shown, they have -6.12; -6.33; -5.05 eV/atom.